# 1
# KTaCo2, relaxed, DFT PBE
data_KTaCo2
_symmetry_space_group_name_H-M 'P 1'
_symmetry_Int_Tables_number 1
_symmetry_space_group_name_Hall 'P 1'
_cell_length_a 3.0758
_cell_length_b 3.0758
_cell_length_c 8.4125
_cell_angle_alpha 90.00
_cell_angle_beta 90.00
_cell_angle_gamma 90.00
loop_
_atom_site_label
_atom_site_fract_x
_atom_site_fract_y
_atom_site_fract_z
K1 0.0000 0.0000 0.0000
Ta1 0.5000 0.5000 0.3979
Co1 0.0000 0.0000 0.5731
Co2 0.5000 0.5000 0.6867
# - E_tot: -24.51 eV/cell
# - Polymorph energy (0 for the lowest one): 0.275 eV per atom
# - DOS(E_F): 0.96 states/eV/atom
# - ΔE_f: 664 meV per atom

# 2
# KTaCo2, relaxed, DFT PBE
data_KTaCo2
_symmetry_space_group_name_H-M 'P 1'
_symmetry_Int_Tables_number 1
_symmetry_space_group_name_Hall 'P 1'
_cell_length_a 3.0590
_cell_length_b 3.0590
_cell_length_c 7.9542
_cell_angle_alpha 90.00
_cell_angle_beta 90.00
_cell_angle_gamma 90.00
loop_
_atom_site_label
_atom_site_fract_x
_atom_site_fract_y
_atom_site_fract_z
K1 0.0000 0.0000 0.0000
Ta1 0.0000 0.0000 0.5000
Co1 0.5000 0.5000 0.3299
Co2 0.5000 0.5000 0.6701
# - E_tot: -25.61 eV/cell
# - Polymorph energy (0 for the lowest one): 0.000 eV per atom
# - DOS(E_F): 0.96 states/eV/atom
# - ΔE_f: 389 meV per atom

# 3
# KTaCo2, relaxed, DFT PBE
data_KTaCo2
_symmetry_space_group_name_H-M 'P 1'
_symmetry_Int_Tables_number 1
_symmetry_space_group_name_Hall 'P 1'
_cell_length_a 3.1471
_cell_length_b 3.1471
_cell_length_c 26.4595
_cell_angle_alpha 90.00
_cell_angle_beta 90.00
_cell_angle_gamma 120.00
loop_
_atom_site_label
_atom_site_fract_x
_atom_site_fract_y
_atom_site_fract_z
K1 0.0000 0.0000 0.0000
K2 0.3333 0.6667 0.6667
K3 0.6667 0.3333 0.3333
Ta1 0.0000 0.0000 0.5000
Ta2 0.3333 0.6667 0.1667
Ta3 0.6667 0.3333 0.8333
Co1 0.0000 0.0000 0.2295
Co2 0.0000 0.0000 0.7705
Co3 0.3333 0.6667 0.4371
Co4 0.3333 0.6667 0.8962
Co5 0.6667 0.3333 0.1038
Co6 0.6667 0.3333 0.5629
# - E_tot: -73.95 eV/cell
# - Polymorph energy (0 for the lowest one): 0.239 eV per atom
# - DOS(E_F): 1.10 states/eV/atom
# - ΔE_f: 628 meV per atom